# 1
## BTe2MoBr (PBE)

Data for BTe2MoBr after structural relaxation.

```
data_BTe2MoBr
_chemical_formula_sum 'B1 Te2 Mo1 Br1'
_space_group_name_H-M_alt 'P 4/m m m'
_space_group_IT_number 123
_space_group_name_Hall '-P 4 2'
_cell_length_a 4.9629
_cell_length_b 4.9629
_cell_length_c 4.4638
_cell_angle_alpha 90.00
_cell_angle_beta 90.00
_cell_angle_gamma 90.00
loop_
_atom_site_label
_atom_site_type_symbol
_atom_site_fract_x
_atom_site_fract_y
_atom_site_fract_z
B1 B 0.0000 0.0000 0.0000
Te1 Te 0.0000 0.5000 0.0000
Mo1 Mo 0.5000 0.5000 0.5000
Br1 Br 0.0000 0.0000 0.5000
```

Calculated values
DFT total energy (eV for the cell shown): -20.05



# 2
## CsBaSb2Te (PBE)

Data for CsBaSb2Te after structural relaxation.

```
data_CsBaSb2Te
_chemical_formula_sum 'Cs1 Ba1 Sb2 Te1'
_space_group_name_H-M_alt 'P 4/m m m'
_space_group_IT_number 123
_space_group_name_Hall '-P 4 2'
_cell_length_a 6.1550
_cell_length_b 6.1550
_cell_length_c 6.4248
_cell_angle_alpha 90.00
_cell_angle_beta 90.00
_cell_angle_gamma 90.00
loop_
_atom_site_label
_atom_site_type_symbol
_atom_site_fract_x
_atom_site_fract_y
_atom_site_fract_z
Cs1 Cs 0.0000 0.0000 0.0000
Ba1 Ba 0.5000 0.5000 0.5000
Sb1 Sb 0.0000 0.5000 0.0000
Te1 Te 0.0000 0.0000 0.5000
```

Calculated values
E above lowest polymorph (eV/atom): 0.377
DFT total energy (eV for the cell shown): -12.12



# 3
## YPu3Pd12 (PBE)

Data for YPu3Pd12 after structural relaxation.

```
data_YPu3Pd12
_chemical_formula_sum 'Y1 Pu3 Pd12'
_space_group_name_H-M_alt 'P 4/m m m'
_space_group_IT_number 123
_space_group_name_Hall '-P 4 2'
_cell_length_a 4.1451
_cell_length_b 4.1451
_cell_length_c 16.5440
_cell_angle_alpha 90.00
_cell_angle_beta 90.00
_cell_angle_gamma 90.00
loop_
_atom_site_label
_atom_site_type_symbol
_atom_site_fract_x
_atom_site_fract_y
_atom_site_fract_z
Y1 Y 0.0000 0.0000 0.0000
Pu1 Pu 0.0000 0.0000 0.2492
Pu2 Pu 0.0000 0.0000 0.5000
Pd1 Pd 0.0000 0.5000 0.1258
Pd2 Pd 0.0000 0.5000 0.3747
Pd3 Pd 0.5000 0.5000 0.0000
Pd4 Pd 0.5000 0.5000 0.2498
Pd5 Pd 0.5000 0.5000 0.5000
```

Calculated values
Formation energy from the elements (eV/atom): -0.637
DFT total energy (eV for the cell shown): -121.96



> Among the records above, which one has the highest DFT total energy?

CsBaSb2Te



> Which formula does entry 3 have?

YPu3Pd12



> Which of these has the lowest DFT total energy?

YPu3Pd12